Material: La2YO2
Method: DFT, PBE
State: optimized geometry

a = 9.030 Å, b = 9.030 Å, c = 9.030 Å
α = 153.94°, β = 153.94°, γ = 37.18°
Fractional coordinates of all 5 atoms:
La1 0.179 0.179 0.000
La2 0.821 0.821 0.000
Y1 0.500 0.500 0.000
O1 0.250 0.750 0.500
O2 0.750 0.250 0.500

* size of the total moment: 0.50 μB/atom
* energy relative to the lowest polymorph listed for this composition: 0.000 eV per atom
* calculated volume: 142 Å³ per cell
* calculated total energy: -7.359 eV per atom

Material: LaYO2
Method: DFT, PBE
State: optimized geometry

a = 4.348 Å, b = 4.348 Å, c = 4.348 Å
α = 60.00°, β = 60.00°, γ = 60.00°
Fractional coordinates of all 4 atoms:
La1 0.000 0.000 0.000
Y1 0.500 0.500 0.500
O1 0.250 0.250 0.250
O2 0.750 0.750 0.750

* size of the total moment: 0.00 μB/atom
* calculated volume: 58 Å³ per cell
* calculated total energy: -7.509 eV per atom

Material: La3Y5O12
Method: DFT, PBE
State: optimized geometry

a = 11.967 Å, b = 11.967 Å, c = 11.967 Å
α = 109.47°, β = 109.47°, γ = 109.47°
Fractional coordinates of all 80 atoms:
La1 0.125 0.250 0.375
La2 0.125 0.375 0.750
La3 0.250 0.375 0.125
La4 0.250 0.875 0.625
La5 0.375 0.125 0.250
La6 0.375 0.750 0.125
La7 0.625 0.250 0.875
La8 0.625 0.875 0.750
La9 0.750 0.125 0.375
La10 0.750 0.625 0.875
La11 0.875 0.625 0.250
La12 0.875 0.750 0.625
Y1 0.000 0.000 0.000
Y2 0.000 0.000 0.500
Y3 0.000 0.500 0.000
Y4 0.000 0.500 0.500
Y5 0.125 0.750 0.875
Y6 0.125 0.875 0.250
Y7 0.250 0.125 0.875
Y8 0.250 0.625 0.375
Y9 0.375 0.250 0.625
Y10 0.375 0.625 0.750
Y11 0.500 0.000 0.000
Y12 0.500 0.000 0.500
Y13 0.500 0.500 0.000
Y14 0.500 0.500 0.500
Y15 0.625 0.375 0.250
Y16 0.625 0.750 0.375
Y17 0.750 0.375 0.625
Y18 0.750 0.875 0.125
Y19 0.875 0.125 0.750
Y20 0.875 0.250 0.125
O1 0.039 0.214 0.130
O2 0.039 0.325 0.909
O3 0.084 0.714 0.675
O4 0.084 0.870 0.409
O5 0.091 0.630 0.416
O6 0.091 0.961 0.675
O7 0.130 0.039 0.214
O8 0.130 0.591 0.916
O9 0.175 0.214 0.584
O10 0.175 0.461 0.591
O11 0.214 0.130 0.039
O12 0.214 0.584 0.175
O13 0.286 0.325 0.916
O14 0.286 0.461 0.370
O15 0.325 0.909 0.039
O16 0.325 0.916 0.286
O17 0.370 0.286 0.461
O18 0.370 0.584 0.909
O19 0.409 0.084 0.870
O20 0.409 0.825 0.539
O21 0.416 0.091 0.630
O22 0.416 0.825 0.786
O23 0.461 0.370 0.286
O24 0.461 0.591 0.175
O25 0.539 0.409 0.825
O26 0.539 0.630 0.714
O27 0.584 0.175 0.214
O28 0.584 0.909 0.370
O29 0.591 0.175 0.461
O30 0.591 0.916 0.130
O31 0.630 0.416 0.091
O32 0.630 0.714 0.539
O33 0.675 0.084 0.714
O34 0.675 0.091 0.961
O35 0.714 0.539 0.630
O36 0.714 0.675 0.084
O37 0.786 0.416 0.825
O38 0.786 0.870 0.961
O39 0.825 0.539 0.409
O40 0.825 0.786 0.416
O41 0.870 0.409 0.084
O42 0.870 0.961 0.786
O43 0.909 0.039 0.325
O44 0.909 0.370 0.584
O45 0.916 0.130 0.591
O46 0.916 0.286 0.325
O47 0.961 0.675 0.091
O48 0.961 0.786 0.870

* size of the total moment: 0.00 μB/atom
* calculated volume: 1319 Å³ per cell
* calculated total energy: -8.707 eV per atom